## TaRhSe2 (PBE)

Data for a relaxed TaRhSe2 crystal.

abc: 3.2312 3.2312 6.3594
angles: 90.00 90.00 90.00
Closest atoms and distances in Å follow each position.
Sites, in units of the cell vectors:
1 Se 0.0000 0.0000 0.0087  4 Ta 2.75, 4 Rh 2.82, 1 Se 3.07
2 Ta 0.5000 0.5000 0.2500  8 Se 2.75
3 Se 0.0000 0.0000 0.4913  4 Ta 2.75, 4 Rh 2.82, 1 Se 3.07
4 Rh 0.5000 0.5000 0.7500  8 Se 2.82

Output
Formation energy without anion corrections (eV per atom): -0.1583
SG: P4/mmm, No. 123
D(E_F) (states/eV/atom): 1.41
Energy relative to the lowest polymorph listed for this composition (meV/atom): 342
M_tot (μB/cell): 0.0
Electronic total energy (eV for the cell shown): -26.81